An optimized crystal structure of Th8Tc3Te4As, computed with PBE.

Values from the calculation:
**Raw formation energy**: -0.770 eV per atom
**Space-group type**: R-3m, No. 166

Lattice parameters (Å, degrees): 8.5057 9.0447 8.5066 118.05 120.00 90.00
Closest atoms and distances in Å follow each position.
Fractional positions:
Th  0.2431  0.7023  0.9593  2 Tc 2.84, 1 As 3.01
Th  0.2431  0.7022  0.4861  2 Tc 2.84, 1 As 3.01
Th  0.2652  0.2956  0.5303  3 Tc 2.90-2.91
Th  0.7162  0.7023  0.9593  2 Tc 2.84, 1 As 3.01
Th  0.2838  0.2977  0.0407  2 Tc 2.84, 1 As 3.01
Th  0.7348  0.7044  0.4697  3 Tc 2.90-2.91
Th  0.7569  0.2978  0.5139  2 Tc 2.84, 1 As 3.01
Th  0.7569  0.2977  0.0407  2 Tc 2.84, 1 As 3.01
Tc  0.5000  0.5000  0.0000  6 Th 2.84-2.91
Tc  0.5000  0.5000  0.5000  6 Th 2.84-2.90
Tc  0.0000  0.5000  0.5000  6 Th 2.84-2.90
Te  0.5000  0.0000  0.0000  6 Th 3.24
Te  0.5000  0.0000  0.5000  6 Th 3.33-3.39
Te  0.0000  0.0000  0.0000  6 Th 3.33-3.39
Te  0.0000  0.0000  0.5000  6 Th 3.33-3.39
As  0.0000  0.5000  0.0000  6 Th 3.01